Entry from Alexandria: Mg2Zn2Cu after structural relaxation (PBE).

Unit cell a=4.304 b=3.307 c=11.768 alpha=90.00 beta=90.60 gamma=90.00
Element x y z (fractional)
Mg 0.244 0.250 0.189
Mg 0.249 0.750 0.422
Mg 0.751 0.250 0.578
Mg 0.756 0.750 0.811
Zn 0.250 0.750 0.995
Zn 0.253 0.750 0.662
Zn 0.747 0.250 0.338
Zn 0.750 0.250 0.005
Cu 0.257 0.250 0.831
Cu 0.743 0.750 0.169

- spin magnetization (μB/atom) = 0.000
- E above lowest polymorph (eV/atom) = 0.0228
- energy of formation (eV/atom) = -0.09
- Fermi-level density of states (states/eV/atom) = 0.1981
- space-group type = P2_1/m
- E (eV/atom) = -2.0608